# 1
LiTaSi2 | PBE | relaxed

The structure in CIF format:
```
data_LiTaSi2
_symmetry_space_group_name_H-M 'P 1'
_symmetry_Int_Tables_number 1
_cell_length_a 2.712
_cell_length_b 2.712
_cell_length_c 8.457
_cell_angle_alpha 90.00
_cell_angle_beta 90.00
_cell_angle_gamma 90.00
loop_
_symmetry_equiv_pos_as_xyz
'x,y,z'
loop_
_atom_site_label
_atom_site_type_symbol
_atom_site_fract_x
_atom_site_fract_y
_atom_site_fract_z
Li1 Li 0.000 0.000 0.000
Ta1 Ta 0.500 0.500 0.707
Si1 Si 0.000 0.000 0.474
Si2 Si 0.500 0.500 0.236
```

Energy relative to the elements, uncorrected, eV/atom: 0.20
Symmetry: P4mm

# 2
TbTh2BeC2 | PBE | relaxed

The structure in CIF format:
```
data_TbTh2BeC2
_symmetry_space_group_name_H-M 'P 1'
_symmetry_Int_Tables_number 1
_cell_length_a 5.549
_cell_length_b 11.304
_cell_length_c 3.699
_cell_angle_alpha 90.00
_cell_angle_beta 90.00
_cell_angle_gamma 90.00
loop_
_symmetry_equiv_pos_as_xyz
'x,y,z'
loop_
_atom_site_label
_atom_site_type_symbol
_atom_site_fract_x
_atom_site_fract_y
_atom_site_fract_z
Tb1 Tb 0.000 0.000 0.000
Tb2 Tb 0.500 0.500 0.500
Th1 Th 0.003 0.290 0.500
Th2 Th 0.497 0.790 0.000
Th3 Th 0.503 0.210 0.000
Th4 Th 0.997 0.710 0.500
Be1 Be 0.000 0.500 0.000
Be2 Be 0.500 0.000 0.500
C1 C 0.230 0.396 0.000
C2 C 0.270 0.896 0.500
C3 C 0.730 0.104 0.500
C4 C 0.770 0.604 0.000
```

Symmetry: Pnnm
ΔE_f, kJ/mol of formula units: -81

# 3
SrAsNO2 | PBE | relaxed

The structure in CIF format:
```
data_SrAsNO2
_symmetry_space_group_name_H-M 'P 1'
_symmetry_Int_Tables_number 1
_cell_length_a 4.632
_cell_length_b 4.632
_cell_length_c 4.901
_cell_angle_alpha 90.00
_cell_angle_beta 90.00
_cell_angle_gamma 90.00
loop_
_symmetry_equiv_pos_as_xyz
'x,y,z'
loop_
_atom_site_label
_atom_site_type_symbol
_atom_site_fract_x
_atom_site_fract_y
_atom_site_fract_z
Sr1 Sr 0.000 0.000 0.000
As1 As 0.500 0.500 0.500
N1 N 0.000 0.000 0.500
O1 O 0.000 0.500 0.000
O2 O 0.500 0.000 0.000
```

Energy relative to the elements, uncorrected, eV/atom: 0.84
Symmetry: P4/mmm

# 4
Y3ZrCl | PBE | relaxed

The structure in CIF format:
```
data_Y3ZrCl
_symmetry_space_group_name_H-M 'P 1'
_symmetry_Int_Tables_number 1
_cell_length_a 5.655
_cell_length_b 5.655
_cell_length_c 5.655
_cell_angle_alpha 90.00
_cell_angle_beta 90.00
_cell_angle_gamma 90.00
loop_
_symmetry_equiv_pos_as_xyz
'x,y,z'
loop_
_atom_site_label
_atom_site_type_symbol
_atom_site_fract_x
_atom_site_fract_y
_atom_site_fract_z
Y1 Y 0.000 0.000 0.500
Y2 Y 0.000 0.500 0.000
Y3 Y 0.500 0.000 0.000
Zr1 Zr 0.000 0.000 0.000
Cl1 Cl 0.500 0.500 0.500
```

Energy relative to the elements, uncorrected, eV/atom: 0.47
Symmetry: Pm-3m

# 5
Cs2BaI4 | PBE | relaxed

The structure in CIF format:
```
data_Cs2BaI4
_symmetry_space_group_name_H-M 'P 1'
_symmetry_Int_Tables_number 1
_cell_length_a 6.745
_cell_length_b 6.745
_cell_length_c 19.664
_cell_angle_alpha 90.00
_cell_angle_beta 90.00
_cell_angle_gamma 90.00
loop_
_symmetry_equiv_pos_as_xyz
'x,y,z'
loop_
_atom_site_label
_atom_site_type_symbol
_atom_site_fract_x
_atom_site_fract_y
_atom_site_fract_z
Cs1 Cs 0.000 0.000 0.137
Cs2 Cs 0.000 0.000 0.863
Cs3 Cs 0.500 0.500 0.363
Cs4 Cs 0.500 0.500 0.637
Ba1 Ba 0.000 0.000 0.500
Ba2 Ba 0.500 0.500 0.000
I1 I 0.000 0.000 0.327
I2 I 0.000 0.000 0.673
I3 I 0.000 0.500 0.000
I4 I 0.000 0.500 0.500
I5 I 0.500 0.000 0.000
I6 I 0.500 0.000 0.500
I7 I 0.500 0.500 0.173
I8 I 0.500 0.500 0.827
```

Energy relative to the elements, uncorrected, eV/atom: -1.60
Symmetry: I4/mmm

# 6
GdDyBr | PBE | relaxed

The structure in CIF format:
```
data_GdDyBr
_symmetry_space_group_name_H-M 'P 1'
_symmetry_Int_Tables_number 1
_cell_length_a 3.739
_cell_length_b 3.739
_cell_length_c 7.295
_cell_angle_alpha 90.00
_cell_angle_beta 90.00
_cell_angle_gamma 120.00
loop_
_symmetry_equiv_pos_as_xyz
'x,y,z'
loop_
_atom_site_label
_atom_site_type_symbol
_atom_site_fract_x
_atom_site_fract_y
_atom_site_fract_z
Gd1 Gd 0.000 0.000 0.000
Dy1 Dy 0.333 0.667 0.635
Br1 Br 0.667 0.333 0.322
```

Energy relative to the elements, uncorrected, eV/atom: -0.75
Symmetry: P3m1

Density of states at the Fermi level across the listed records, respectively: 0.372 0.727 0.980 0.306 0.000 1.077 states/eV/atom.
Uncorrected energy across the listed records, respectively: -5.951 -7.080 -4.079 -5.491 -3.007 -7.532 eV/atom.